1.
The following is a PBE calculation of a relaxed SrAlO2 crystal, from Alexandria.

Cell: 6.8479 6.8479 6.8479 Å, 25.87 25.87 25.87°
Fractional coordinates of all 4 atoms:
Sr (0.0000, 0.0000, 0.0000)
Al (0.5000, 0.5000, 0.5000)
O (0.1191, 0.1191, 0.1191)
O (0.8809, 0.8809, 0.8809)

Formation energy from raw total energies   -1.970 eV per atom
Calculated volume   13.5 Å³/atom
Symmetry   No. 166
VASP energy   -23.22 eV per cell
Magnetic moment   0.000 Bohr magnetons per cell



2.
The following is a PBE calculation of a relaxed Tb2PuSc crystal, from Alexandria.

Cell: 4.8734 4.8734 4.8303 Å, 90.00 90.00 90.00°
Fractional coordinates of all 4 atoms:
Tb (0.0000, 0.5000, 0.0000)
Tb (0.5000, 0.0000, 0.0000)
Pu (0.0000, 0.0000, 0.5000)
Sc (0.5000, 0.5000, 0.5000)

Formation energy   0.15 eV per atom
Calculated volume   28.7 Å³/atom
Symmetry   No. 123
VASP energy   -29.34 eV per cell
Magnetic moment   6.238 Bohr magnetons per cell



3.
The following is a PBE calculation of a relaxed TcW2Cl crystal, from Alexandria.

Cell: 5.1547 5.1547 5.1547 Å, 136.97 136.97 62.48°
Fractional coordinates of all 4 atoms:
Tc (0.0000, 0.0000, 0.0000)
W (0.2500, 0.7500, 0.5000)
W (0.5000, 0.5000, 0.0000)
Cl (0.7500, 0.2500, 0.5000)

Formation energy from raw total energies   1.218 eV per atom
Calculated volume   15.8 Å³/atom
Symmetry   No. 119
VASP energy   -33.25 eV per cell
Magnetic moment   0.002 Bohr magnetons per cell



4.
The following is a PBE calculation of a relaxed NaP2Rh2 crystal, from Alexandria.

Cell: 7.2747 7.2747 2.8316 Å, 90.00 90.00 90.00°
Fractional coordinates of all 10 atoms:
Na (0.0000, 0.0000, 0.0000)
Na (0.5000, 0.5000, 0.0000)
P (0.1474, 0.3526, 0.0000)
P (0.3526, 0.8526, 0.0000)
P (0.6474, 0.1474, 0.0000)
P (0.8526, 0.6474, 0.0000)
Rh (0.1364, 0.6364, 0.5000)
Rh (0.3636, 0.1364, 0.5000)
Rh (0.6364, 0.8636, 0.5000)
Rh (0.8636, 0.3636, 0.5000)

Formation energy   -0.31 eV per atom
Calculated volume   15.0 Å³/atom
Symmetry   No. 127
VASP energy   -56.79 eV per cell
Magnetic moment   0.000 Bohr magnetons per cell



5.
The following is a PBE calculation of a relaxed BaNb3In crystal, from Alexandria.

Cell: 5.0896 5.0896 5.0896 Å, 90.00 90.00 90.00°
Fractional coordinates of all 5 atoms:
Ba (0.0000, 0.0000, 0.0000)
Nb (0.0000, 0.0000, 0.5000)
Nb (0.0000, 0.5000, 0.0000)
Nb (0.5000, 0.0000, 0.0000)
In (0.5000, 0.5000, 0.5000)

Formation energy   2.31 eV per atom
Calculated volume   26.4 Å³/atom
Symmetry   No. 221
VASP energy   -23.31 eV per cell
Magnetic moment   0.000 Bohr magnetons per cell



6.
The following is a PBE calculation of a relaxed LiMn2Os crystal, from Alexandria.

Cell: 2.5662 4.1658 4.8150 Å, 90.00 97.77 90.00°
Fractional coordinates of all 4 atoms:
Li (0.0000, 0.0000, 0.0000)
Mn (0.5420, 0.0000, 0.4995)
Mn (0.7963, 0.5000, 0.2414)
Os (0.2794, 0.5000, 0.7580)

Formation energy   0.19 eV per atom
Calculated volume   12.8 Å³/atom
Symmetry   No. 6
VASP energy   -30.71 eV per cell
Magnetic moment   0.282 Bohr magnetons per cell